# 1
Density functional theory data (PBE) for a geometry-optimized Cs2LiBeAs2 structure.

Lattice parameters (Å, degrees): 10.130 10.130 10.130 143.28 52.30 144.09
Atoms (fractional coordinates):
Cs1 0.156 0.237 0.392
Cs2 0.344 0.737 0.081
Cs3 0.656 0.263 0.919
Cs4 0.844 0.763 0.608
Li1 0.250 0.250 0.000
Li2 0.750 0.750 0.000
Be1 0.250 0.750 0.500
Be2 0.750 0.250 0.500
As1 0.064 0.711 0.775
As2 0.436 0.211 0.647
As3 0.564 0.789 0.353
As4 0.936 0.289 0.225

Values from the calculation:
E_tot in eV/atom: -3.148
E_form in meV per atom: -373
V in Å³/atom: 30.20

---

# 2
Density functional theory data (PBE) for a geometry-optimized Cs2MgBeAs2 structure.

Lattice parameters (Å, degrees): 10.488 10.488 10.488 145.51 49.62 145.45
Atoms (fractional coordinates):
Cs1 0.161 0.244 0.406
Cs2 0.339 0.744 0.083
Cs3 0.661 0.256 0.917
Cs4 0.839 0.756 0.594
Mg1 0.250 0.250 0.000
Mg2 0.750 0.750 0.000
Be1 0.250 0.750 0.500
Be2 0.750 0.250 0.500
As1 0.070 0.716 0.786
As2 0.430 0.216 0.647
As3 0.570 0.784 0.353
As4 0.930 0.284 0.214

Values from the calculation:
E_tot in eV/atom: -3.172
E_form in meV per atom: -451
V in Å³/atom: 30.73

---

# 3
Density functional theory data (PBE) for a geometry-optimized CsMgBeAs2 structure.

Lattice parameters (Å, degrees): 5.696 5.696 5.211 90.00 90.00 90.00
Atoms (fractional coordinates):
Cs1 0.000 0.000 0.000
Mg1 0.500 0.500 0.500
Be1 0.000 0.000 0.500
As1 0.000 0.500 0.000
As2 0.500 0.000 0.000

Values from the calculation:
E_tot in eV/atom: -1.383
E_form in meV per atom: 1712
V in Å³/atom: 33.82

---

# 4
Density functional theory data (PBE) for a geometry-optimized CsNa2BeAs2 structure.

Lattice parameters (Å, degrees): 7.748 7.748 7.748 111.59 93.59 124.71
Atoms (fractional coordinates):
Cs1 0.250 0.250 0.000
Cs2 0.750 0.750 0.000
Na1 0.184 0.671 0.855
Na2 0.316 0.171 0.487
Na3 0.684 0.829 0.513
Na4 0.816 0.329 0.145
Be1 0.250 0.750 0.500
Be2 0.750 0.250 0.500
As1 0.092 0.364 0.456
As2 0.408 0.864 0.272
As3 0.592 0.136 0.728
As4 0.908 0.636 0.544

Values from the calculation:
E_tot in eV/atom: -2.981
E_form in meV per atom: -228
V in Å³/atom: 27.69

---

# 5
Density functional theory data (PBE) for a geometry-optimized CsBe2As2O6 structure.

Lattice parameters (Å, degrees): 5.030 6.419 6.703 71.68 71.20 89.70
Atoms (fractional coordinates):
Cs1 0.000 0.000 0.000
Be1 0.203 0.698 0.508
Be2 0.797 0.302 0.492
As1 0.401 0.426 0.243
As2 0.599 0.574 0.757
O1 0.110 0.271 0.476
O2 0.296 0.686 0.709
O3 0.409 0.686 0.281
O4 0.591 0.314 0.719
O5 0.704 0.314 0.291
O6 0.890 0.729 0.524

Values from the calculation:
E_tot in eV/atom: -6.059
Formation energy without anion corrections in eV per atom: -1.754
V in Å³/atom: 17.58

---

# 6
Density functional theory data (PBE) for a geometry-optimized CsBe2AsO structure.

Lattice parameters (Å, degrees): 6.443 6.443 6.019 90.00 90.00 90.00
Atoms (fractional coordinates):
Cs1 0.000 0.000 0.000
Be1 0.000 0.500 0.000
Be2 0.500 0.000 0.000
As1 0.000 0.000 0.500
O1 0.500 0.500 0.500

Values from the calculation:
E_tot in eV/atom: -1.199
Formation energy without anion corrections in eV per atom: 2.383
Excess energy over the best structure of this formula in the dataset in meV/atom: 1740
V in Å³/atom: 49.97

---

# 7
Density functional theory data (PBE) for a geometry-optimized CsBe2AsO structure.

Lattice parameters (Å, degrees): 3.917 3.917 8.038 90.00 90.00 90.00
Atoms (fractional coordinates):
Cs1 0.000 0.000 0.000
Be1 0.000 0.500 0.500
Be2 0.500 0.000 0.500
As1 0.500 0.500 0.000
O1 0.500 0.500 0.500

Values from the calculation:
E_tot in eV/atom: -2.939
Formation energy without anion corrections in eV per atom: 0.643
Excess energy over the best structure of this formula in the dataset in meV/atom: 0
V in Å³/atom: 24.67

---

# 8
Density functional theory data (PBE) for a geometry-optimized CsBe2AsP structure.

Lattice parameters (Å, degrees): 7.700 3.775 7.949 90.00 100.75 90.00
Atoms (fractional coordinates):
Cs1 0.230 0.250 0.439
Cs2 0.770 0.750 0.561
Be1 0.194 0.750 0.021
Be2 0.400 0.250 0.029
Be3 0.600 0.750 0.971
Be4 0.806 0.250 0.979
As1 0.088 0.250 0.877
As2 0.912 0.750 0.123
P1 0.449 0.750 0.180
P2 0.551 0.250 0.820

Values from the calculation:
E_tot in eV/atom: -3.960
E_form in meV per atom: -287
V in Å³/atom: 22.70

---

- Among the records above, which one has the lowest E_tot?
  CsBe2As2O6

---

Repeat the seventh record exactly.
Density functional theory data (PBE) for a geometry-optimized CsBe2AsO structure.

Lattice parameters (Å, degrees): 3.917 3.917 8.038 90.00 90.00 90.00
Atoms (fractional coordinates):
Cs1 0.000 0.000 0.000
Be1 0.000 0.500 0.500
Be2 0.500 0.000 0.500
As1 0.500 0.500 0.000
O1 0.500 0.500 0.500

Values from the calculation:
E_tot in eV/atom: -2.939
Formation energy without anion corrections in eV per atom: 0.643
Excess energy over the best structure of this formula in the dataset in meV/atom: 0
V in Å³/atom: 24.67

---

- Which of these has the highest V?
  number 6

---

- What is the E_tot in the seventh record?
  -2.939 eV/atom